Record 1
Density functional theory data (meta-GGA SCAN) for Cu3Sn4PbO12 at its PBEsol-relaxed geometry.

Cell lengths 6.6810, 6.6810, 6.6810 Å; angles 109.47, 109.47, 109.47 degrees
With the nearest neighbours (Å) after each atom.
Fractional coordinates of all 20 atoms:
Cu  0.0000  0.5000  0.5000  4 O 1.96
Cu  0.5000  0.0000  0.5000  4 O 1.96
Cu  0.5000  0.5000  0.0000  4 O 1.96
Sn  0.0000  0.0000  0.5000  6 O 2.08
Sn  0.0000  0.5000  0.0000  6 O 2.08
Sn  0.5000  0.0000  0.0000  6 O 2.08
Sn  0.5000  0.5000  0.5000  6 O 2.08
Pb  0.0000  0.0000  0.0000  12 O 2.76
O  0.1406  0.8274  0.3132  1 Cu 1.96, 2 Sn 2.08
O  0.1726  0.3132  0.4857  1 Cu 1.96, 2 Sn 2.08
O  0.1726  0.6868  0.8594  1 Cu 1.96, 2 Sn 2.08
O  0.3132  0.1406  0.8274  1 Cu 1.96, 2 Sn 2.08
O  0.3132  0.4857  0.1726  1 Cu 1.96, 2 Sn 2.08
O  0.4857  0.1726  0.3132  1 Cu 1.96, 2 Sn 2.08
O  0.5143  0.8274  0.6868  1 Cu 1.96, 2 Sn 2.08
O  0.6868  0.5143  0.8274  1 Cu 1.96, 2 Sn 2.08
O  0.6868  0.8594  0.1726  1 Cu 1.96, 2 Sn 2.08
O  0.8274  0.3132  0.1406  1 Cu 1.96, 2 Sn 2.08
O  0.8274  0.6868  0.5143  1 Cu 1.96, 2 Sn 2.08
O  0.8594  0.1726  0.6868  1 Cu 1.96, 2 Sn 2.08

Computed properties:
- total magnetization (μB per formula unit) = 3.00
- total DFT energy (no corrections) (eV per formula unit) = -368.1
- theoretical density (g/cm3) = 7.70
- ΔE_f (raw) (eV/f.u.) = -28.29


Record 2
Density functional theory data (meta-GGA SCAN) for KCrTe2 at its PBEsol-relaxed geometry.

Cell lengths 4.6120, 7.1783, 7.1783 Å; angles 35.23, 90.00, 90.00 degrees
With the nearest neighbours (Å) after each atom.
Fractional coordinates of all 4 atoms:
K  0.0000  0.0000  0.0000  6 Te 3.50-3.54, 2 Cr 3.77
Cr  0.5000  0.7818  0.7818  4 Te 2.56-2.59
Te  0.0000  0.7008  0.7008  2 Cr 2.56
Te  0.5000  0.3846  0.3846  2 Cr 2.59

Computed properties:
- total magnetization (μB per formula unit) = 3.00
- total DFT energy (no corrections) (eV per formula unit) = -103.5
- theoretical density (g/cm3) = 4.19
- ΔE_f (raw) (eV/f.u.) = -2.32